MnCrF3 (GGA+U, optimized geometry); ΔE to the lowest computed polymorph = 0.204 eV per atom; volume = 14.85 A^3/atom; space group = Pm-3m; density = 3.7 g cm⁻³
1.0
4.204 0.000 0.000
0.000 4.204 0.000
0.000 0.000 4.204
Cr Mn F
1 1 3
Direct
0.000 0.000 0.000
0.500 0.500 0.500
0.000 0.500 0.000
0.000 0.000 0.500
0.500 0.000 0.000